# ScTc2Pt

An optimized crystal structure of ScTc2Pt (PBE, the Alexandria database).

Uncorrected energy: -33.3 eV per cell
Magnetization: 0.000 μB per formula unit
N(E_F): 4.01 states/eV/f.u.
DFT formation energy: -3.8 kJ/mol of atoms
Energy above the lowest structure with this stoichiometry: 290.6 meV per atom

Cell: 2.7534 2.7534 8.5052 Å, 90.00 90.00 90.00°
Last column: nearest neighbours and their distance in Å.
Space group P4/mmm (No. 123)
Symmetry-distinct sites (fractional):
Sc 0.0000 0.0000 0.0000 (multiplicity 1)  4 Sc 2.75, 8 Tc 2.98
Tc 0.5000 0.5000 0.2653 (multiplicity 2)  4 Tc 2.75, 4 Pt 2.79, 4 Sc 2.98
Pt 0.0000 0.0000 0.5000 (multiplicity 1)  4 Pt 2.75, 8 Tc 2.79